Here is a geometry-optimized Eu2MnRhO6 structure from the Alexandria database. Energies are from PBE+U.

Properties
M_tot: 32.0 Bohr magnetons per cell
E_tot: -8.51 eV/atom

abc: 5.5400 5.7532 9.4059
angles: 90.00 125.28 90.00
Fractional positions:
Eu  0.2358  0.0596  0.2497
Eu  0.2358  0.4404  0.7497
Eu  0.7642  0.5596  0.2503
Eu  0.7642  0.9404  0.7503
Mn  0.5000  0.0000  0.0000
Mn  0.5000  0.5000  0.5000
Rh  0.0000  0.0000  0.5000
Rh  0.0000  0.5000  0.0000
O  0.1469  0.2022  0.9520
O  0.1469  0.2978  0.4520
O  0.2517  0.6977  0.9516
O  0.2517  0.8023  0.4516
O  0.3508  0.0298  0.7544
O  0.3508  0.4702  0.2544
O  0.6492  0.5298  0.7456
O  0.6492  0.9702  0.2456
O  0.7483  0.1977  0.5484
O  0.7483  0.3023  0.0484
O  0.8531  0.7022  0.5480
O  0.8531  0.7978  0.0480